Record 1
BaPtRh2 | GGA-PBE | relaxed

excess energy over the best structure of this formula in the dataset: 111.1 kJ/mol of formula units
energy of formation from the pure elements: 0.07 eV per atom
total energy: -44.81 eV for the cell shown
symmetry: I-42d, No. 122

Lattice parameters (Å, degrees): 9.597 9.597 9.597 151.21 151.21 41.16
Fractional positions:
1 Ba 0.000 0.000 0.000
2 Ba 0.750 0.250 0.500
3 Pt 0.250 0.750 0.500
4 Pt 0.500 0.500 0.000
5 Rh 0.293 0.625 0.168
6 Rh 0.375 0.543 0.668
7 Rh 0.457 0.125 0.832
8 Rh 0.875 0.707 0.332

=====

Record 2
BaPt2Rh | GGA-PBE | relaxed

energy of formation from the pure elements: -0.43 eV per atom
total energy: -23.08 eV for the cell shown
symmetry: R3m, No. 160

Lattice parameters (Å, degrees): 6.069 6.069 6.069 44.01 44.01 44.01
Fractional positions:
1 Ba 0.000 0.000 0.000
2 Pt 0.502 0.502 0.502
3 Pt 0.811 0.811 0.811
4 Rh 0.185 0.185 0.185

=====

Record 3
BaPtRh2 | GGA-PBE | relaxed

excess energy over the best structure of this formula in the dataset: 176.0 kJ/mol of formula units
energy of formation from the pure elements: 0.23 eV per atom
total energy: -21.73 eV for the cell shown
symmetry: P4/mmm, No. 123

Lattice parameters (Å, degrees): 3.339 3.339 7.319 90.00 90.00 90.00
Fractional positions:
1 Ba 0.000 0.000 0.000
2 Pt 0.000 0.000 0.500
3 Rh 0.500 0.500 0.318
4 Rh 0.500 0.500 0.682

=====

Record 4
BaPtRh2 | GGA-PBE | relaxed

excess energy over the best structure of this formula in the dataset: 208.0 kJ/mol of formula units
energy of formation from the pure elements: 0.32 eV per atom
total energy: -21.40 eV for the cell shown
symmetry: P2/m, No. 10

Lattice parameters (Å, degrees): 5.109 3.054 5.279 90.00 109.19 90.00
Fractional positions:
1 Ba 0.000 0.000 0.000
2 Pt 0.000 0.500 0.500
3 Rh 0.500 0.000 0.500
4 Rh 0.500 0.500 0.000

=====

Record 5
BaPtRh2 | GGA-PBE | relaxed

excess energy over the best structure of this formula in the dataset: 196.5 kJ/mol of formula units
energy of formation from the pure elements: 0.29 eV per atom
total energy: -21.52 eV for the cell shown
symmetry: P4/mmm, No. 123

Lattice parameters (Å, degrees): 4.341 4.341 4.168 90.00 90.00 90.00
Fractional positions:
1 Ba 0.000 0.000 0.000
2 Pt 0.500 0.500 0.000
3 Rh 0.000 0.500 0.500
4 Rh 0.500 0.000 0.500

=====

Record 6
BaPtRh3 | GGA-PBE | relaxed

excess energy over the best structure of this formula in the dataset: 737.0 kJ/mol of formula units
energy of formation from the pure elements: 2.10 eV per atom
total energy: -19.52 eV for the cell shown
symmetry: Pm-3m, No. 221

Lattice parameters (Å, degrees): 4.976 4.976 4.976 90.00 90.00 90.00
Fractional positions:
1 Ba 0.000 0.000 0.000
2 Pt 0.500 0.500 0.500
3 Rh 0.000 0.000 0.500
4 Rh 0.000 0.500 0.000
5 Rh 0.500 0.000 0.000

=====

Q: The highest total energy belongs to which entry?
A: BaPtRh3

=====

Q: Number 6 is which compound?
A: BaPtRh3

=====

Q: The highest total energy belongs to which entry?
A: BaPtRh3

=====

Q: The lowest energy of formation from the pure elements belongs to which entry?
A: BaPt2Rh